Density functional theory data (PBE) for crystalline FeHgSeN2 at its relaxed geometry.

The structure in POSCAR format:
```
FeHgSeN2
1.0
-2.285 -2.610 1.290
1.858 -0.044 3.200
-3.282 3.841 1.958
N Hg Se Fe
2 1 1 1
Direct
0.000 0.500 0.000
0.500 0.000 0.000
0.500 0.500 0.500
0.000 0.000 0.500
0.000 0.000 0.000
```

- Space-group type: No. 123
- Total energy: -24.7 eV for the cell shown
- Formation energy from raw total energies: 846 meV/atom
- Density: 8.1 Mg/m³